Record 1
{"formula": "Cr2WAu", "functional": "PBE", "state": "optimized geometry", "relative_energy_ev_per_atom": 0.051, "total_energy_ev_per_cell": -34.21, "e_form_ev_per_atom": 0.3168, "lattice_angstrom": [[-1.0468, 0.9196, -2.2773], [-0.1871, -2.6630, 0.0357], [-7.7181, 0.5931, 3.7871]], "species": ["Cr", "Cr", "W", "Au"], "frac_coords": [[0.5000, 0.5000, 0.2349], [0.0000, 0.0000, 0.0262], [0.0000, 0.0000, 0.4773], [0.5000, 0.5000, 0.7616]]}

***

Record 2
{"formula": "CrW3Au", "functional": "PBE", "state": "optimized geometry", "relative_energy_ev_per_atom": 0.000, "total_energy_ev_per_cell": -44.58, "e_form_ev_per_atom": 1.4363, "lattice_angstrom": [[4.4909, 0.0000, 0.0000], [0.0000, 4.4909, 0.0000], [0.0000, 0.0000, 4.4909]], "species": ["Cr", "W", "W", "W", "Au"], "frac_coords": [[0.0000, 0.0000, 0.0000], [0.5000, 0.0000, 0.0000], [0.0000, 0.5000, 0.0000], [0.0000, 0.0000, 0.5000], [0.5000, 0.5000, 0.5000]]}

***

Record 3
{"formula": "Cr2WAu", "functional": "PBE", "state": "optimized geometry", "relative_energy_ev_per_atom": 0.165, "total_energy_ev_per_cell": -33.75, "e_form_ev_per_atom": 0.4315, "lattice_angstrom": [[-7.4069, -1.4085, 4.5774], [-6.1378, -3.8664, 5.0177], [-5.5446, -1.6711, 6.6530]], "species": ["Au", "Cr", "Cr", "W"], "frac_coords": [[0.7452, 0.7452, 0.7452], [0.9892, 0.9892, 0.9892], [0.2591, 0.2591, 0.2591], [0.5065, 0.5065, 0.5065]]}

***

Record 4
{"formula": "CrWAu2", "functional": "PBE", "state": "optimized geometry", "relative_energy_ev_per_atom": 0.145, "total_energy_ev_per_cell": -27.41, "e_form_ev_per_atom": 0.4311, "lattice_angstrom": [[-3.7657, -3.1136, 0.3409], [-0.4799, -1.4188, 4.6635], [0.3628, 4.4475, -2.0196]], "species": ["Au", "Au", "W", "Cr"], "frac_coords": [[0.0000, 0.0000, 0.0000], [0.2500, 0.7500, 0.5000], [0.7500, 0.2500, 0.5000], [0.5000, 0.5000, 0.0000]]}

***

Record 5
{"formula": "CrWAu2", "functional": "PBE", "state": "optimized geometry", "relative_energy_ev_per_atom": 0.140, "total_energy_ev_per_cell": -27.43, "e_form_ev_per_atom": 0.4257, "lattice_angstrom": [[6.1846, 0.0315, 0.1091], [-2.4518, 4.3486, 0.0230], [1.2811, 0.7137, 2.4705]], "species": ["Au", "Au", "W", "Cr"], "frac_coords": [[0.5000, 0.0000, 0.5000], [0.0000, 0.0000, 0.0000], [0.5000, 0.5000, 0.0000], [0.0000, 0.5000, 0.5000]]}

***

Record 6
{"formula": "CrWAu2", "functional": "PBE", "state": "optimized geometry", "relative_energy_ev_per_atom": 0.117, "total_energy_ev_per_cell": -27.52, "e_form_ev_per_atom": 0.4023, "lattice_angstrom": [[-1.9483, 1.8753, 0.9440], [-0.2890, -1.5152, 2.4134], [5.8550, 4.3541, 3.4348]], "species": ["W", "Au", "Au", "Cr"], "frac_coords": [[0.5000, 0.5000, 0.7500], [0.0000, 0.0000, 0.4951], [0.0000, 0.0000, 0.0049], [0.5000, 0.5000, 0.2500]]}

***

Record 7
{"formula": "CrWAu2", "functional": "PBE", "state": "optimized geometry", "relative_energy_ev_per_atom": 0.153, "total_energy_ev_per_cell": -27.38, "e_form_ev_per_atom": 0.4389, "lattice_angstrom": [[3.9308, 0.0000, 0.0000], [0.0000, 3.9287, 0.0000], [0.0000, 0.0000, 4.1930]], "species": ["Cr", "Au", "Au", "W"], "frac_coords": [[0.5000, 0.0000, 0.5000], [0.5000, 0.5000, 0.0000], [0.0000, 0.0000, 0.0000], [0.0000, 0.5000, 0.5000]]}

***

Record 8
{"formula": "CrWAu2", "functional": "PBE", "state": "optimized geometry", "relative_energy_ev_per_atom": 0.532, "total_energy_ev_per_cell": -51.73, "e_form_ev_per_atom": 0.8171, "lattice_angstrom": [[-2.0777, 0.9697, 2.9429], [1.3170, -2.9310, 1.8955], [6.9534, 4.4962, 5.7924]], "species": ["Au", "Au", "Au", "Au", "W", "W", "Cr", "Cr"], "frac_coords": [[0.3750, 0.3779, 0.7500], [0.1279, 0.6250, 0.2500], [0.8750, 0.8721, 0.7500], [0.6221, 0.1250, 0.2500], [0.0000, 0.0000, 0.0000], [0.7500, 0.2500, 0.5000], [0.2500, 0.7500, 0.5000], [0.5000, 0.5000, 0.0000]]}

***

Record 9
{"formula": "Cr2WAu", "functional": "PBE", "state": "optimized geometry", "relative_energy_ev_per_atom": 0.087, "total_energy_ev_per_cell": -34.07, "e_form_ev_per_atom": 0.3530, "lattice_angstrom": [[-2.6638, -2.1700, 2.7337], [0.0317, 0.9259, 4.2918], [-3.4207, 2.0588, 1.8270]], "species": ["Cr", "Cr", "Au", "W"], "frac_coords": [[0.2500, 0.2500, 0.2500], [0.7500, 0.7500, 0.7500], [0.5000, 0.5000, 0.5000], [0.0000, 0.0000, 0.0000]]}

***

Record 10
{"formula": "CrW2Au", "functional": "PBE", "state": "optimized geometry", "relative_energy_ev_per_atom": 0.184, "total_energy_ev_per_cell": -36.91, "e_form_ev_per_atom": 0.4744, "lattice_angstrom": [[-2.1830, -3.8631, -0.6021], [1.0732, -2.6666, -3.4335], [2.0847, -3.8908, 0.7533]], "species": ["Au", "W", "W", "Cr"], "frac_coords": [[0.5000, 0.5000, 0.5000], [0.2500, 0.2500, 0.2500], [0.0000, 0.0000, 0.0000], [0.7500, 0.7500, 0.7500]]}

***

Record 11
{"formula": "CrW2Au", "functional": "PBE", "state": "optimized geometry", "relative_energy_ev_per_atom": 0.119, "total_energy_ev_per_cell": -37.17, "e_form_ev_per_atom": 0.4085, "lattice_angstrom": [[4.7801, 0.0026, 0.0000], [1.4142, 4.5661, 0.0000], [-3.0971, -2.2844, 2.8352]], "species": ["W", "W", "Au", "Cr"], "frac_coords": [[0.2500, 0.7500, 0.5000], [0.0000, 0.0000, 0.0000], [0.5000, 0.5000, 0.0000], [0.7500, 0.2500, 0.5000]]}

***

Record 12
{"formula": "CrWAu2", "functional": "PBE", "state": "optimized geometry", "relative_energy_ev_per_atom": 0.074, "total_energy_ev_per_cell": -27.69, "e_form_ev_per_atom": 0.3593, "lattice_angstrom": [[9.3870, -0.0743, -0.0435], [8.9682, 2.7735, -0.0435], [8.9682, 1.3188, 2.4403]], "species": ["W", "Au", "Au", "Cr"], "frac_coords": [[0.7552, 0.7552, 0.7552], [0.2450, 0.2450, 0.2450], [0.0024, 0.0024, 0.0024], [0.4974, 0.4974, 0.4974]]}

***

Record 13
{"formula": "CrWAu2", "functional": "PBE", "state": "optimized geometry", "relative_energy_ev_per_atom": 0.170, "total_energy_ev_per_cell": -27.31, "e_form_ev_per_atom": 0.4557, "lattice_angstrom": [[-0.6505, 0.8657, 9.3137], [-2.9333, -0.8482, 8.8654], [-0.2983, -1.9980, 9.1563]], "species": ["Au", "Au", "W", "Cr"], "frac_coords": [[0.5020, 0.5020, 0.5020], [0.9980, 0.9980, 0.9980], [0.7500, 0.7500, 0.7500], [0.2500, 0.2500, 0.2500]]}

***

Record 14
{"formula": "CrW2Au", "functional": "PBE", "state": "optimized geometry", "relative_energy_ev_per_atom": 0.181, "total_energy_ev_per_cell": -36.92, "e_form_ev_per_atom": 0.4714, "lattice_angstrom": [[-2.0163, -1.5633, -9.1049], [-1.3140, -4.1942, -8.3720], [-3.9433, -3.2669, -7.9490]], "species": ["Au", "Cr", "W", "W"], "frac_coords": [[0.4966, 0.4966, 0.4966], [0.7480, 0.7480, 0.7480], [0.2509, 0.2509, 0.2509], [0.0045, 0.0045, 0.0045]]}

***

Record 15
{"formula": "Cr2WAu", "functional": "PBE", "state": "optimized geometry", "relative_energy_ev_per_atom": 0.047, "total_energy_ev_per_cell": -34.23, "e_form_ev_per_atom": 0.3125, "lattice_angstrom": [[4.1078, 0.0000, 0.0000], [0.0000, 4.1082, 0.0000], [0.0000, 0.0000, 3.4418]], "species": ["Au", "Cr", "Cr", "W"], "frac_coords": [[0.0000, 0.5000, 0.5000], [0.0000, 0.0000, 0.0000], [0.5000, 0.5000, 0.0000], [0.5000, 0.0000, 0.5000]]}